<one>
LiDyMg2 (PBE, optimized geometry); space group = R3m
1.0
1.642 0.948 10.751
-1.642 0.948 10.751
0.000 -1.896 10.751
Li Dy Mg
1 1 2
direct
0.000 0.000 0.000 Li
0.833 0.833 0.833 Dy
0.410 0.410 0.410 Mg
0.588 0.588 0.588 Mg

=====

<two>
LiDyMg2 (PBE, optimized geometry); space group = P4/mmm
1.0
3.518 0.000 0.000
0.000 3.518 0.000
0.000 0.000 7.796
Li Dy Mg
1 1 2
direct
0.000 0.000 0.000 Li
0.000 0.000 0.500 Dy
0.500 0.500 0.215 Mg
0.500 0.500 0.785 Mg

=====

Ranked by calculated energy, most stable first: <two>, <one>.